1.
# LiLa2GaIr PBE relaxed
# **Distance to the lowest polymorph of the same formula**: 0.0 meV/atom
# **Crystal system**: tetragonal
# **Spin magnetization**: 0.000 μB per cell
data_LiLa2GaIr
_cell_length_a 5.604
_cell_length_b 5.604
_cell_length_c 4.877
_cell_angle_alpha 90.00
_cell_angle_beta 90.00
_cell_angle_gamma 90.00
_symmetry_space_group_name_H-M 'P 4/m m m'
_symmetry_Int_Tables_number 123
_symmetry_space_group_name_Hall '-P 4 2'
loop_
_atom_site_label
_atom_site_type_symbol
_atom_site_fract_x
_atom_site_fract_y
_atom_site_fract_z
Li1 Li 0.000 0.000 0.000
La1 La 0.000 0.500 0.500
Ga1 Ga 0.500 0.500 0.000
Ir1 Ir 0.500 0.500 0.500

=====

2.
# LiLa2Ga4Ir3 PBE relaxed
# **Crystal system**: tetragonal
# **Spin magnetization**: 0.000 μB per cell
data_LiLa2Ga4Ir3
_cell_length_a 4.394
_cell_length_b 4.394
_cell_length_c 10.082
_cell_angle_alpha 90.00
_cell_angle_beta 90.00
_cell_angle_gamma 90.00
_symmetry_space_group_name_H-M 'P -4 m 2'
_symmetry_Int_Tables_number 115
_symmetry_space_group_name_Hall 'P -4 -2'
loop_
_atom_site_label
_atom_site_type_symbol
_atom_site_fract_x
_atom_site_fract_y
_atom_site_fract_z
Li1 Li 0.000 0.000 0.000
La1 La 0.000 0.500 0.749
Ga1 Ga 0.000 0.000 0.500
Ga2 Ga 0.000 0.500 0.120
Ga3 Ga 0.500 0.500 0.500
Ir1 Ir 0.000 0.500 0.368
Ir2 Ir 0.500 0.500 0.000

=====

no.,energy relative to the elements (eV per atom)
1,-0.36
2,-0.66